Record 1
DFT (PBE) results for a relaxed Ac4Al3AgO12 crystal.

Cell: 7.9213 7.9213 7.9213 Å, 90.00 90.00 90.00°
Last column: nearest neighbours and their distance in Å.
Space group Im-3m (No. 229)
Inequivalent atoms, fractional coordinates:
Ac (0.2500, 0.2500, 0.2500) x8  12 O 2.80
Al (0.0000, 0.0000, 0.5000) x6  6 O 1.85-1.98
Ag (0.0000, 0.0000, 0.0000) x2  6 O 2.12
O (0.0000, 0.0000, 0.2670) x12  1 Al 1.85
O (0.0000, 0.2500, 0.5000) x12  2 Al 1.98

Results
VASP energy	-7.293	eV per atom
crystal system	cubic
magnetization	2.06	μB/f.u.
N(E_F)	0.364	states/eV/f.u.
uncorrected formation energy	-2793	meV per atom

=====

Record 2
DFT (PBE) results for a relaxed Pm2GaPd5 crystal.

Cell: 6.2296 6.2296 8.1343 Å, 90.00 90.00 90.00°
Last column: nearest neighbours and their distance in Å.
Space group I4mm (No. 107)
Inequivalent atoms, fractional coordinates:
Pm (0.0000, 0.5000, 0.0000) x4  10 Pd 2.98-3.11
Ga (0.0000, 0.0000, 0.3175) x2  5 Pd 2.50-2.59
Pd (0.0000, 0.0000, 0.9988) x2  1 Ga 2.59, 4 Pd 2.86
Pd (0.2244, 0.2244, 0.7448) x8  1 Ga 2.50, 2 Pd 2.80

Results
VASP energy	-5.550	eV per atom
energy relative to the elements	-0.7386	eV/atom
crystal system	tetragonal
magnetization	0.00	μB/f.u.
N(E_F)	6.053	states/eV/f.u.

=====

Record 3
DFT (PBE) results for a relaxed Pu3ScAg3S8 crystal.

Cell: 7.9974 7.9974 18.0495 Å, 90.00 90.00 120.00°
Last column: nearest neighbours and their distance in Å.
Space group R-3m (No. 166, hexagonal axes)
Inequivalent atoms, fractional coordinates:
Pu (0.0000, 0.5000, 0.0000) x9  6 S 2.72-2.74
Sc (0.0000, 0.0000, 0.0000) x3  6 S 2.63
Ag (0.0000, 0.5000, 0.5000) x9  6 S 2.78-2.79
S (0.0000, 0.0000, 0.2534) x6  3 Pu 2.72, 3 Ag 2.79
S (0.0120, 0.5060, 0.7441) x18  1 Sc 2.63, 2 Pu 2.74, 2 Ag 2.78

Results
VASP energy	-7.214	eV per atom
crystal system	trigonal
magnetization	14.00	μB/f.u.
N(E_F)	26.439	states/eV/f.u.
uncorrected formation energy	-1154	meV per atom

=====

Record 4
DFT (PBE) results for a relaxed La7TcCl12 crystal.

Cell: 15.1340 15.1340 10.7787 Å, 90.00 90.00 120.00°
Last column: nearest neighbours and their distance in Å.
Space group R-3 (No. 148, hexagonal axes)
Inequivalent atoms, fractional coordinates:
La (0.0000, 0.0000, 0.0000) x3  6 Cl 2.83
La (0.0333, 0.1679, 0.3532) x18  1 Tc 2.82, 5 Cl 2.90-3.14
Tc (0.0000, 0.0000, 0.5000) x3  6 La 2.82
Cl (0.0250, 0.5740, 0.1559) x18  3 La 2.90-3.14
Cl (0.0345, 0.1581, 0.8326) x18  3 La 2.83-3.05

Results
VASP energy	-5.299	eV per atom
crystal system	trigonal
magnetization	2.24	μB/f.u.
N(E_F)	9.124	states/eV/f.u.
uncorrected formation energy	-1948	meV per atom

=====

Record 5
DFT (PBE) results for a relaxed Ac3ZnGa3 crystal.

Cell: 11.5950 4.7684 15.4711 Å, 90.00 111.81 90.00°
Last column: nearest neighbours and their distance in Å.
Space group C2/m (No. 12)
Inequivalent atoms, fractional coordinates:
Ac (0.0579, 0.0000, 0.3874) x4  7 Ga 3.26-3.65, 4 Zn 3.33-3.48
Ac (0.1010, 0.0000, 0.9202) x4  7 Ga 3.36-3.40
Ac (0.2411, 0.5000, 0.7767) x4  6 Ga 3.34-3.40, 2 Zn 3.50
Zn (0.2416, 0.0000, 0.6115) x4  3 Ga 2.68-2.74
Ga (0.0558, 0.5000, 0.2318) x4  1 Zn 2.68, 1 Ga 2.71
Ga (0.1054, 0.5000, 0.0741) x4  2 Ga 2.66-2.71
Ga (0.1290, 0.5000, 0.5423) x4  2 Zn 2.74, 1 Ga 2.79

Results
VASP energy	-3.727	eV per atom
energy relative to the elements	-0.4875	eV/atom
crystal system	monoclinic
magnetization	0.00	μB/f.u.
N(E_F)	5.084	states/eV/f.u.

=====

Record 6
DFT (PBE) results for a relaxed LiFeI5 crystal.

Cell: 10.9445 8.4816 14.2015 Å, 90.00 90.00 90.00°
Last column: nearest neighbours and their distance in Å.
Space group Pnma (No. 62)
Inequivalent atoms, fractional coordinates:
Li (0.1428, 0.2500, 0.1545) x4  4 I 2.71-2.92
Fe (0.0751, 0.7500, 0.1563) x4  4 I 2.47-2.60
I (0.0583, 0.5045, 0.2599) x8  1 Fe 2.56, 1 Li 2.78
I (0.1185, 0.2500, 0.9501) x4  1 Fe 2.60
I (0.1388, 0.7500, 0.5645) x4  1 Li 2.71
I (0.2448, 0.7500, 0.0421) x4  1 Fe 2.47

Results
VASP energy	-2.949	eV per atom
crystal system	orthorhombic
magnetization	3.99	μB/f.u.
uncorrected formation energy	-359	meV per atom